Material: Nd6SiRh2Br3
Method: DFT, PBE
State: relaxed

CIF file:
```
data_Nd6SiRh2Br3
_chemical_formula_sum 'Nd6 Si1 Rh2 Br3'
_cell_length_a 7.282
_cell_length_b 7.282
_cell_length_c 8.027
_cell_angle_alpha 98.70
_cell_angle_beta 98.70
_cell_angle_gamma 120.02
_space_group_name_H-M_alt 'P 1'
_space_group_IT_number 1
loop_
_space_group_symop_operation_xyz
'x,y,z'
loop_
_atom_site_label
_atom_site_type_symbol
_atom_site_fract_x
_atom_site_fract_y
_atom_site_fract_z
_atom_site_occupancy
Nd1 Nd 0.090 0.434 0.799 1
Nd2 Nd 0.222 0.222 0.201 1
Nd3 Nd 0.434 0.090 0.799 1
Nd4 Nd 0.566 0.910 0.201 1
Nd5 Nd 0.778 0.778 0.799 1
Nd6 Nd 0.910 0.566 0.201 1
Si1 Si 0.500 0.500 0.000 1
Rh1 Rh 0.167 0.833 0.000 1
Rh2 Rh 0.833 0.167 0.000 1
Br1 Br 0.000 0.000 0.500 1
Br2 Br 0.339 0.661 0.500 1
Br3 Br 0.661 0.339 0.500 1
```

As for the total energy: -5.490 eV/atom. Its symmetry is C2/m (12). As for the crystal system: monoclinic. The calculation puts the volume at 351.3 Å³/cell.